# 1
A relaxed La2MnCo crystal. Source: Alexandria, functional PBE-GGA.

Results
The final energy comes out at -0.23228 Ha/atom. For the total magnetization, the calculation gives 3.7 μB per formula unit. The calculated volume comes out at 23.45 Å³/atom. The formation energy is 0.212 eV/atom.

```
La2MnCo
1.0
0.000 3.606 3.606
3.606 0.000 3.606
3.606 3.606 0.000
Mn Co La
1 1 2
Direct
0.000 0.000 0.000 Mn
0.500 0.500 0.500 Co
0.250 0.250 0.250 La
0.750 0.750 0.750 La
```

# 2
A relaxed La2MnCo crystal. Source: Alexandria, functional PBE-GGA.

Results
The final energy comes out at -0.23291 Ha/atom. For the total magnetization, the calculation gives 3.5 μB per formula unit. The calculated volume comes out at 23.25 Å³/atom. The formation energy is 0.195 eV/atom.

```
La2MnCo
1.0
8.057 -0.029 -0.067
-3.240 3.973 0.014
1.577 1.283 2.897
Co La Mn
1 2 1
Direct
0.500 0.500 0.000 Co
0.000 0.000 0.000 La
0.500 0.000 0.500 La
0.000 0.500 0.500 Mn
```

# 3
A relaxed LaMnCo crystal. Source: Alexandria, functional PBE-GGA.

Results
The final energy comes out at -0.25612 Ha/atom. For the total magnetization, the calculation gives 3.1 μB per formula unit. The calculated volume comes out at 20.10 Å³/atom. The formation energy is 0.098 eV/atom.

```
LaMnCo
1.0
-1.117 3.853 0.551
-0.068 -1.617 -3.711
-4.011 -1.251 0.618
Co La Mn
1 1 1
Direct
0.000 0.000 0.833 Co
0.333 0.667 0.333 La
0.667 0.333 0.833 Mn
```

# 4
A relaxed La2MnCo crystal. Source: Alexandria, functional PBE-GGA.

Results
The final energy comes out at -0.22866 Ha/atom. For the total magnetization, the calculation gives 4.6 μB per formula unit. The calculated volume comes out at 21.32 Å³/atom. The formation energy is 0.310 eV/atom.

```
La2MnCo
1.0
4.941 0.000 0.000
2.470 4.279 0.000
2.470 1.426 4.034
Co La Mn
1 2 1
Direct
0.500 0.500 0.500 Co
0.000 0.000 0.000 La
0.750 0.750 0.750 La
0.250 0.250 0.250 Mn
```

# 5
A relaxed La2MnCo crystal. Source: Alexandria, functional PBE-GGA.

Results
The final energy comes out at -0.23780 Ha/atom. For the total magnetization, the calculation gives 2.8 μB per formula unit. The calculated volume comes out at 23.98 Å³/atom. The formation energy is 0.062 eV/atom.

```
La2MnCo
1.0
-0.674 -2.853 2.347
-2.681 -1.750 -2.898
3.176 -3.882 -3.807
Co La Mn
1 2 1
Direct
0.500 0.558 0.759 Co
0.000 0.990 0.895 La
0.500 0.270 0.334 La
0.000 0.681 0.513 Mn
```

# 6
A relaxed LaMn2Co2 crystal. Source: Alexandria, functional PBE-GGA.

Results
The final energy comes out at -0.26878 Ha/atom. For the total magnetization, the calculation gives 5.6 μB per formula unit. The calculated volume comes out at 15.99 Å³/atom. The formation energy is 0.182 eV/atom.

```
LaMn2Co2
1.0
4.119 0.000 0.000
0.000 4.119 0.000
2.059 2.059 4.712
Mn Co La
2 2 1
Direct
0.372 0.372 0.257 Mn
0.628 0.628 0.743 Mn
0.750 0.250 0.500 Co
0.250 0.750 0.500 Co
0.000 0.000 0.000 La
```